The following is a PBE calculation of a relaxed structure of Bi3Rh, from the Alexandria database. Values from VASP.

```
&SYSTEM
  ibrav = 0, nat = 4, ntyp = 2
/
ATOMIC_SPECIES
Bi 208.98 Bi.upf
Rh 102.91 Rh.upf
ATOMIC_POSITIONS crystal
Bi 0.500 0.422 0.000
Bi 0.675 0.056 0.350
Bi 0.325 0.706 0.650
Rh 0.000 0.984 0.000
CELL_PARAMETERS angstrom
-2.392 -2.471 -0.258
1.962 -1.433 -4.469
4.053 -2.074 5.340
```

Calculated values
Total moment   0.000 μB per atom
SG   Imm2 (44)
Polymorph energy (0 for the lowest one)   132.0 meV per atom
Fermi-level density of states   2.1 states/eV/cell
VASP energy   -19.1 eV per cell
Calculated formation energy   -0.08 eV per formula unit

=====

The following is a PBE calculation of a relaxed structure of Bi3Rh, from the Alexandria database. Values from VASP.

```
&SYSTEM
  ibrav = 0, nat = 8, ntyp = 2
/
ATOMIC_SPECIES
Bi 208.98 Bi.upf
Rh 102.91 Rh.upf
ATOMIC_POSITIONS crystal
Bi 0.750 0.234 0.554
Bi 0.250 0.619 0.814
Bi 0.750 0.893 0.143
Bi 0.250 0.766 0.446
Rh 0.250 0.142 0.326
Bi 0.250 0.107 0.857
Rh 0.750 0.858 0.674
Bi 0.750 0.381 0.186
CELL_PARAMETERS angstrom
-2.652 0.750 2.126
-0.962 -6.444 1.073
6.285 1.729 7.229
```

Calculated values
Total moment   0.000 μB per atom
SG   P2_1/m (11)
Polymorph energy (0 for the lowest one)   67.8 meV per atom
Fermi-level density of states   4.3 states/eV/cell
VASP energy   -38.7 eV per cell
Calculated formation energy   -0.34 eV per formula unit

=====

The following is a PBE calculation of a relaxed structure of Bi3Rh, from the Alexandria database. Values from VASP.

```
&SYSTEM
  ibrav = 0, nat = 16, ntyp = 2
/
ATOMIC_SPECIES
Bi 208.98 Bi.upf
Rh 102.91 Rh.upf
ATOMIC_POSITIONS crystal
Bi 0.250 0.897 0.094
Bi 0.250 0.303 0.113
Bi 0.250 0.803 0.387
Rh 0.250 0.102 0.479
Bi 0.250 0.397 0.406
Bi 0.250 0.903 0.678
Bi 0.750 0.697 0.887
Bi 0.750 0.597 0.178
Bi 0.750 0.097 0.322
Rh 0.750 0.398 0.979
Bi 0.750 0.197 0.613
Bi 0.250 0.403 0.822
Rh 0.750 0.898 0.521
Bi 0.750 0.103 0.906
Bi 0.750 0.603 0.594
Rh 0.250 0.602 0.021
CELL_PARAMETERS angstrom
4.308 0.000 0.000
0.000 8.942 0.000
0.000 0.000 11.616
```

Calculated values
Total moment   0.000 μB per atom
SG   Pnma (62)
Polymorph energy (0 for the lowest one)   0.0 meV per atom
Fermi-level density of states   8.3 states/eV/cell
VASP energy   -78.4 eV per cell
Calculated formation energy   -0.61 eV per formula unit

=====

The following is a PBE calculation of a relaxed structure of Bi4Rh, from the Alexandria database. Values from VASP.

```
&SYSTEM
  ibrav = 0, nat = 10, ntyp = 2
/
ATOMIC_SPECIES
Bi 208.98 Bi.upf
Rh 102.91 Rh.upf
ATOMIC_POSITIONS crystal
Bi 0.125 0.934 0.621
Bi 0.690 0.451 0.647
Bi 0.313 0.504 0.379
Bi 0.754 0.063 0.879
Bi 0.804 0.044 0.353
Bi 0.294 0.554 0.853
Rh 0.470 0.970 0.500
Rh 0.220 0.220 0.000
Bi 0.184 0.875 0.121
Bi 0.701 0.440 0.147
CELL_PARAMETERS angstrom
7.165 -0.530 0.000
-3.250 6.408 0.000
-1.958 -2.939 6.550
```

Calculated values
Total moment   0.000 μB per atom
SG   Fdd2 (43)
Polymorph energy (0 for the lowest one)   106.0 meV per atom
Fermi-level density of states   5.8 states/eV/cell
VASP energy   -46.1 eV per cell
Calculated formation energy   -0.18 eV per formula unit

=====

The following is a PBE calculation of a relaxed structure of BiRh3, from the Alexandria database. Values from VASP.

```
&SYSTEM
  ibrav = 0, nat = 4, ntyp = 2
/
ATOMIC_SPECIES
Rh 102.91 Rh.upf
Bi 208.98 Bi.upf
ATOMIC_POSITIONS crystal
Rh 0.750 0.250 0.500
Bi 0.000 0.000 0.000
Rh 0.500 0.500 0.000
Rh 0.250 0.750 0.500
CELL_PARAMETERS angstrom
-0.972 -2.362 3.245
4.008 -0.743 0.659
-1.325 4.643 0.355
```

Calculated values
Total moment   0.177 μB per atom
SG   I4/mmm (139)
Fermi-level density of states   5.9 states/eV/cell
VASP energy   -25.7 eV per cell
Calculated formation energy   0.23 eV per formula unit

=====

The following is a PBE calculation of a relaxed structure of Bi4Rh, from the Alexandria database. Values from VASP.

```
&SYSTEM
  ibrav = 0, nat = 10, ntyp = 2
/
ATOMIC_SPECIES
Rh 102.91 Rh.upf
Bi 208.98 Bi.upf
ATOMIC_POSITIONS crystal
Rh 0.000 0.000 0.000
Bi 0.249 0.675 0.825
Bi 0.751 0.325 0.825
Bi 0.751 0.825 0.675
Bi 0.249 0.325 0.175
Rh 0.000 0.500 0.500
Bi 0.751 0.175 0.325
Bi 0.751 0.675 0.175
Bi 0.249 0.825 0.325
Bi 0.249 0.175 0.675
CELL_PARAMETERS angstrom
-4.988 -3.106 -1.744
3.830 -3.990 -3.845
0.814 -4.219 5.188
```

Calculated values
Total moment   0.000 μB per atom
SG   P4/nbm (125)
Polymorph energy (0 for the lowest one)   30.1 meV per atom
Fermi-level density of states   5.3 states/eV/cell
VASP energy   -46.9 eV per cell
Calculated formation energy   -0.56 eV per formula unit

=====

The following is a PBE calculation of a relaxed structure of BiRu3Rh, from the Alexandria database. Values from VASP.

```
&SYSTEM
  ibrav = 0, nat = 5, ntyp = 3
/
ATOMIC_SPECIES
Ru 101.07 Ru.upf
Rh 102.91 Rh.upf
Bi 208.98 Bi.upf
ATOMIC_POSITIONS crystal
Ru 0.500 0.000 0.000
Ru 0.000 0.000 0.500
Rh 0.000 0.000 0.000
Ru 0.000 0.500 0.000
Bi 0.500 0.500 0.500
CELL_PARAMETERS angstrom
-4.609 0.814 -0.436
-0.590 -0.885 4.579
0.710 4.544 0.970
```

Calculated values
Total moment   0.000 μB per atom
SG   Pm-3m (221)
Polymorph energy (0 for the lowest one)   0.0 meV per atom
Fermi-level density of states   6.5 states/eV/cell
VASP energy   -31.4 eV per cell
Calculated formation energy   7.64 eV per formula unit

=====

The following is a PBE calculation of a relaxed structure of Bi3RuRh, from the Alexandria database. Values from VASP.

```
&SYSTEM
  ibrav = 0, nat = 5, ntyp = 3
/
ATOMIC_SPECIES
Bi 208.98 Bi.upf
Rh 102.91 Rh.upf
Ru 101.07 Ru.upf
ATOMIC_POSITIONS crystal
Bi 0.000 0.500 0.000
Bi 0.500 0.000 0.000
Bi 0.000 0.000 0.500
Rh 0.500 0.500 0.500
Ru 0.000 0.000 0.000
CELL_PARAMETERS angstrom
5.189 0.000 0.000
0.000 5.189 0.000
0.000 0.000 5.189
```

Calculated values
Total moment   0.000 μB per atom
SG   Pm-3m (221)
Polymorph energy (0 for the lowest one)   0.0 meV per atom
Fermi-level density of states   4.6 states/eV/cell
VASP energy   -24.2 eV per cell
Calculated formation energy   4.06 eV per formula unit

=====

The following is a PBE calculation of a relaxed structure of Bi6RuRh3, from the Alexandria database. Values from VASP.

```
&SYSTEM
  ibrav = 0, nat = 20, ntyp = 3
/
ATOMIC_SPECIES
Rh 102.91 Rh.upf
Bi 208.98 Bi.upf
Ru 101.07 Ru.upf
ATOMIC_POSITIONS crystal
Rh 0.529 0.831 0.740
Rh 0.500 0.500 0.000
Rh 0.971 0.331 0.760
Bi 0.670 0.523 0.253
Rh 0.000 0.000 0.500
Bi 0.330 0.848 0.417
Bi 0.333 0.851 0.089
Rh 0.471 0.169 0.260
Ru 0.500 0.500 0.500
Ru 0.000 0.000 0.000
Bi 0.330 0.477 0.747
Bi 0.833 0.649 0.589
Bi 0.170 0.977 0.753
Bi 0.167 0.351 0.411
Bi 0.830 0.652 0.917
Bi 0.830 0.023 0.247
Bi 0.170 0.348 0.083
Rh 0.029 0.669 0.240
Bi 0.667 0.149 0.911
Bi 0.670 0.152 0.583
CELL_PARAMETERS angstrom
7.244 0.000 -0.099
0.000 6.654 0.000
-0.042 0.000 9.750
```

Calculated values
Total moment   0.000 μB per atom
SG   P2_1/c (14)
Fermi-level density of states   12.9 states/eV/cell
VASP energy   -109.7 eV per cell
Calculated formation energy   -0.26 eV per formula unit

=====

The following is a PBE calculation of a relaxed structure of BiRu2Rh, from the Alexandria database. Values from VASP.

```
&SYSTEM
  ibrav = 0, nat = 8, ntyp = 3
/
ATOMIC_SPECIES
Bi 208.98 Bi.upf
Ru 101.07 Ru.upf
Rh 102.91 Rh.upf
ATOMIC_POSITIONS crystal
Bi 0.000 0.000 0.000
Ru 0.875 0.831 0.750
Ru 0.581 0.125 0.250
Rh 0.250 0.750 0.500
Rh 0.500 0.500 0.000
Ru 0.375 0.419 0.750
Bi 0.750 0.250 0.500
Ru 0.169 0.625 0.250
CELL_PARAMETERS angstrom
-5.361 -0.558 -2.178
-2.038 -1.174 5.317
-4.642 4.754 2.449
```

Calculated values
Total moment   0.000 μB per atom
SG   I-42d (122)
Fermi-level density of states   11.4 states/eV/cell
VASP energy   -51.0 eV per cell
Calculated formation energy   4.28 eV per formula unit

=====

The following is a PBE calculation of a relaxed structure of BiRuRh3, from the Alexandria database. Values from VASP.

```
&SYSTEM
  ibrav = 0, nat = 5, ntyp = 3
/
ATOMIC_SPECIES
Rh 102.91 Rh.upf
Ru 101.07 Ru.upf
Bi 208.98 Bi.upf
ATOMIC_POSITIONS crystal
Rh 0.500 0.000 0.000
Rh 0.000 0.000 0.500
Ru 0.000 0.000 0.000
Bi 0.500 0.500 0.500
Rh 0.000 0.500 0.000
CELL_PARAMETERS angstrom
-0.437 4.625 -0.792
-4.682 -0.481 -0.223
-0.299 0.766 4.640
```

Calculated values
Total moment   0.000 μB per atom
SG   Pm-3m (221)
Polymorph energy (0 for the lowest one)   0.0 meV per atom
Fermi-level density of states   6.7 states/eV/cell
VASP energy   -30.1 eV per cell
Calculated formation energy   5.09 eV per formula unit

=====

Copy entry 9 word for word.
The following is a PBE calculation of a relaxed structure of Bi6RuRh3, from the Alexandria database. Values from VASP.

```
&SYSTEM
  ibrav = 0, nat = 20, ntyp = 3
/
ATOMIC_SPECIES
Rh 102.91 Rh.upf
Bi 208.98 Bi.upf
Ru 101.07 Ru.upf
ATOMIC_POSITIONS crystal
Rh 0.529 0.831 0.740
Rh 0.500 0.500 0.000
Rh 0.971 0.331 0.760
Bi 0.670 0.523 0.253
Rh 0.000 0.000 0.500
Bi 0.330 0.848 0.417
Bi 0.333 0.851 0.089
Rh 0.471 0.169 0.260
Ru 0.500 0.500 0.500
Ru 0.000 0.000 0.000
Bi 0.330 0.477 0.747
Bi 0.833 0.649 0.589
Bi 0.170 0.977 0.753
Bi 0.167 0.351 0.411
Bi 0.830 0.652 0.917
Bi 0.830 0.023 0.247
Bi 0.170 0.348 0.083
Rh 0.029 0.669 0.240
Bi 0.667 0.149 0.911
Bi 0.670 0.152 0.583
CELL_PARAMETERS angstrom
7.244 0.000 -0.099
0.000 6.654 0.000
-0.042 0.000 9.750
```

Calculated values
Total moment   0.000 μB per atom
SG   P2_1/c (14)
Fermi-level density of states   12.9 states/eV/cell
VASP energy   -109.7 eV per cell
Calculated formation energy   -0.26 eV per formula unit